No. 1
The following is a DFT calculation (PBE) of Sr2Tm3Pb4 after structural relaxation.

Lattice parameters (Å, degrees): 8.415 8.649 8.178 90.00 107.98 90.00
Space group P2_1/c (No. 14)
Inequivalent atoms, fractional coordinates:
Sr 0.188 0.178 0.059 x4
Tm 0.249 0.659 0.255 x4
Tm 0.500 0.000 0.500 x2
Pb 0.090 0.542 0.859 x4
Pb 0.500 0.136 0.858 x4

Calculated values
The value obtained for the total magnetic moment is 0.00 μB per formula unit. For the formation energy, the calculation gives -0.529 eV per atom. As for the raw total energy: -72.75 eV per cell.

***

No. 2
The following is a DFT calculation (PBE) of UTl2Se2S2 after structural relaxation.

Lattice parameters (Å, degrees): 4.076 6.830 14.804 90.00 90.00 90.00
Space group Immm (No. 71)
Inequivalent atoms, fractional coordinates:
U 0.000 0.000 0.000 x2
Tl 0.000 0.500 0.161 x4
Se 0.000 0.000 0.179 x4
S 0.000 0.263 0.500 x4

Calculated values
The value obtained for the total magnetic moment is 0.10 μB per formula unit. As for the raw total energy: -72.92 eV per cell. For the raw formation energy, the calculation gives -0.745 eV/atom.

***

No. 3
The following is a DFT calculation (PBE) of PuCl2F5 after structural relaxation.

Lattice parameters (Å, degrees): 4.492 5.359 9.072 89.30 78.35 66.38
Space group P-1 (No. 2)
Inequivalent atoms, fractional coordinates:
Pu 0.000 0.000 0.000 x1
Cl 0.335 0.605 0.440 x2
F 0.025 0.128 0.788 x2
F 0.226 0.610 0.910 x2
F 0.500 0.000 0.000 x1

Calculated values
The value obtained for the total magnetic moment is 2.96 μB per formula unit. The energy relative to the lowest polymorph listed for this composition comes out at 0.000 kcal/mol of atoms. As for the raw total energy: -46.10 eV per cell. For the raw formation energy, the calculation gives -2.339 eV/atom.

***

No. 4
The following is a DFT calculation (PBE) of CeCd2In2 after structural relaxation.

Lattice parameters (Å, degrees): 24.615 4.674 4.544 90.00 98.47 90.00
Space group C2/m (No. 12)
Inequivalent atoms, fractional coordinates:
Ce 0.152 0.000 0.367 x4
Cd 0.042 0.000 0.783 x4
Cd 0.044 0.500 0.281 x4
In 0.122 0.500 0.838 x4
In 0.234 0.500 0.161 x4

Calculated values
The value obtained for the total magnetic moment is 0.99 μB per formula unit. For the formation energy, the calculation gives -0.198 eV per atom. The energy relative to the lowest polymorph listed for this composition comes out at 0.000 kcal/mol of atoms. As for the raw total energy: -56.92 eV per cell.